(1)
! Np2PSe | the Open Quantum Materials Database | PBE | optimized geometry; values from VASP
&SYSTEM
  ibrav = 0, nat = 8, ntyp = 3
/
ATOMIC_SPECIES
Np 237.00 Np.upf
P 30.97 P.upf
Se 78.96 Se.upf
ATOMIC_POSITIONS crystal
Np 0.5000 0.0000 0.1140
Np 0.0000 0.5000 0.3622
Np 0.5000 0.0000 0.6378
Np 0.0000 0.5000 0.8860
P 0.5000 0.5000 0.1254
P 0.0000 0.0000 0.8746
Se 0.0000 0.0000 0.3761
Se 0.5000 0.5000 0.6239
CELL_PARAMETERS angstrom
4.0316 0.0000 0.0000
0.0000 5.6925 0.0000
0.0000 0.0000 8.0783
! Density (g/cm³): 10.460
! Symmetry: Pmmn (59)
! Electronic total energy (eV per atom): -9.68

---

(2)
! NpUP2 | the Open Quantum Materials Database | PBE | optimized geometry; values from VASP
&SYSTEM
  ibrav = 0, nat = 16, ntyp = 3
/
ATOMIC_SPECIES
Np 237.00 Np.upf
P 30.97 P.upf
U 238.03 U.upf
ATOMIC_POSITIONS crystal
Np 0.1250 0.7503 0.1250
Np 0.8750 0.7503 0.3750
Np 0.1250 0.2497 0.6250
Np 0.8750 0.2497 0.8750
P 0.6247 0.7503 0.1247
P 0.1253 0.2503 0.1253
P 0.8747 0.2503 0.3747
P 0.3753 0.7503 0.3753
P 0.6247 0.2497 0.6247
P 0.1253 0.7497 0.6253
P 0.8747 0.7497 0.8747
P 0.3753 0.2497 0.8753
U 0.6250 0.2503 0.1250
U 0.3750 0.2503 0.3750
U 0.6250 0.7497 0.6250
U 0.3750 0.7497 0.8750
CELL_PARAMETERS angstrom
5.5822 0.0000 0.0000
0.0000 5.5818 0.0000
-5.5799 0.0000 11.1589
! Density (g/cm³): 10.258
! Symmetry: I4_1/amd (141)
! Electronic total energy (eV per atom): -9.68

---

(3)
! NpPaPb | the Open Quantum Materials Database | PBE | optimized geometry; values from VASP
&SYSTEM
  ibrav = 0, nat = 3, ntyp = 3
/
ATOMIC_SPECIES
Np 237.00 Np.upf
Pa 231.04 Pa.upf
Pb 207.20 Pb.upf
ATOMIC_POSITIONS crystal
Np 0.0000 0.0000 0.0000
Pa 0.2500 0.2500 0.2500
Pb 0.7500 0.7500 0.7500
CELL_PARAMETERS angstrom
1.4867 -2.6293 3.8514
-2.0408 0.7208 4.3900
-2.9428 -3.4074 1.9200
! Density (g/cm³): 13.523
! Symmetry: F-43m (216)
! Electronic total energy (eV per atom): -7.87

---

(4)
! PrNpPa | the Open Quantum Materials Database | PBE | optimized geometry; values from VASP
&SYSTEM
  ibrav = 0, nat = 3, ntyp = 3
/
ATOMIC_SPECIES
Np 237.00 Np.upf
Pa 231.04 Pa.upf
Pr 140.91 Pr.upf
ATOMIC_POSITIONS crystal
Np 0.2500 0.2500 0.2500
Pa 0.7500 0.7500 0.7500
Pr 0.0000 0.0000 0.0000
CELL_PARAMETERS angstrom
-3.7299 1.8184 2.6509
-4.0994 1.5403 -2.2514
-4.1755 -2.5690 0.4604
! ΔH_f (0 K) (kJ per mole of atoms): 134.3
! Density (g/cm³): 11.978
! Symmetry: F-43m (216)

---

- Number 1 is which compound?
  Np2PSe